Record 1
This record from Alexandria via LeMat-Bulk describes a relaxed structure of AgOsSe2. The functional is PBE.

a = 11.5538 Å, b = 11.5538 Å, c = 11.5538 Å
α = 14.14°, β = 14.14°, γ = 14.14°
Closest atoms and distances in Å follow each position.
Sites, in units of the cell vectors:
Ag  0.5000  0.5000  0.5000  6 Ag 2.84
Os  0.0000  0.0000  0.0000  2 Se 2.41
Se  0.0703  0.0703  0.0703  1 Os 2.41
Se  0.9297  0.9297  0.9297  1 Os 2.41

Uncorrected formation energy, eV per atom: 0.458

***

Record 2
This record from Alexandria via LeMat-Bulk describes a relaxed structure of AgOsSe2. The functional is PBE.

a = 6.5076 Å, b = 6.5076 Å, c = 6.2311 Å
α = 50.73°, β = 50.73°, γ = 27.45°
Closest atoms and distances in Å follow each position.
Sites, in units of the cell vectors:
Se  0.7475  0.7475  0.8007  2 Os 2.42
Se  0.9178  0.9178  0.0698  2 Os 2.44
Os  0.2677  0.2677  0.0708  4 Se 2.42-2.44
Ag  0.5670  0.5670  0.5587  3 Os 2.83-2.96, 2 Se 2.87, 2 Ag 3.09

Uncorrected formation energy, eV per atom: 0.270

***

Record 3
This record from Alexandria via LeMat-Bulk describes a relaxed structure of AgOsSe3. The functional is PBE.

a = 4.9272 Å, b = 4.9272 Å, c = 4.9272 Å
α = 90.00°, β = 90.00°, γ = 90.00°
Closest atoms and distances in Å follow each position.
Sites, in units of the cell vectors:
Se  0.0000  0.0000  0.5000  2 Os 2.46
Se  0.0000  0.5000  0.0000  2 Os 2.46
Se  0.5000  0.0000  0.0000  2 Os 2.46
Ag  0.5000  0.5000  0.5000  12 Se 3.48
Os  0.0000  0.0000  0.0000  6 Se 2.46

Uncorrected formation energy, eV per atom: 0.691

***

Record 4
This record from Alexandria via LeMat-Bulk describes a relaxed structure of AgOsSe2. The functional is PBE.

a = 5.3182 Å, b = 5.3182 Å, c = 5.3182 Å
α = 136.60°, β = 136.60°, γ = 63.05°
Closest atoms and distances in Å follow each position.
Sites, in units of the cell vectors:
Se  0.0000  0.0000  0.0000  4 Ag 2.78, 4 Se 3.00, 4 Os 3.00
Se  0.2500  0.7500  0.5000  4 Os 2.78, 4 Se 3.00, 4 Ag 3.00
Os  0.7500  0.2500  0.5000  8 Se 2.78-3.00, 4 Ag 3.00
Ag  0.5000  0.5000  0.0000  8 Se 2.78-3.00, 4 Os 3.00

Uncorrected formation energy, eV per atom: 0.880

***

Across the entries above, energy above the lowest structure with this stoichiometry takes the values 352, 164, 0, 774 meV per atom, respectively.
Across the entries above, M_tot takes the values 0.0, 0.0, 0.0, 0.4 μB/cell, respectively.